VASP calculation (GGA-PBE) on an optimized crystal structure of Ag2Te2I.

- E_form (uncorrected) (kJ per mole of atoms) = 13
- space group = P4/mbm (127)
- D(E_F) (states/eV/f.u.) = 3.29
- total moment (μB per formula unit) = 0.00

extended XYZ file:
```
10
Lattice="9.379 0.000 0.000 0.000 9.379 0.000 0.000 0.000 3.076" Properties=species:S:1:pos:R:3 pbc="T T T"
I 0.000 0.000 0.000
I 4.689 4.689 0.000
Te 1.257 5.946 1.538
Te 5.946 8.122 1.538
Te 8.122 3.433 1.538
Te 3.433 1.257 1.538
Ag 3.167 7.856 0.000
Ag 7.856 6.211 0.000
Ag 6.211 1.522 0.000
Ag 1.522 3.167 0.000
```